No. 1
An optimized crystal structure of Yb3Ga9Pd2, computed with PBE.

a b c (Å): 8.183 8.183 8.183
angles (deg): 149.38 108.37 79.88
Element x y z (fractional)
1 Yb 0.205 0.205 0.000
2 Pd 0.823 0.000 0.823
3 Ga 0.518 0.153 0.365
4 Ga 0.000 0.500 0.500
5 Ga 0.212 0.847 0.365
6 Ga 0.920 0.638 0.281
7 Ga 0.357 0.638 0.719
8 Ga 0.080 0.362 0.719
9 Ga 0.643 0.362 0.281
10 Ga 0.482 0.847 0.635
11 Yb 0.500 0.500 0.000
12 Ga 0.788 0.153 0.635
13 Pd 0.177 0.000 0.177
14 Yb 0.795 0.795 0.000

Results
uncorrected energy: -3.62 eV/atom
formation energy: -58 kJ/mol of atoms

---

No. 2
An optimized crystal structure of Zn2Ga2Pd, computed with PBE.

a b c (Å): 3.601 3.601 6.993
angles (deg): 75.08 75.08 90.00
Element x y z (fractional)
1 Pd 0.000 0.000 0.000
2 Ga 0.750 0.250 0.500
3 Zn 0.593 0.593 0.814
4 Zn 0.407 0.407 0.186
5 Ga 0.250 0.750 0.500

Results
excess energy over the best structure of this formula in the dataset: 1.24 eV/f.u.
uncorrected energy: -2.75 eV/atom
formation energy: 1 kJ/mol of atoms

---

No. 3
An optimized crystal structure of Zn2Ga2Pd, computed with PBE.

a b c (Å): 4.340 6.485 4.643
angles (deg): 133.02 90.00 109.55
Element x y z (fractional)
1 Ga 0.155 0.309 0.784
2 Zn 0.659 0.318 0.400
3 Pd 0.000 0.000 0.000
4 Zn 0.341 0.682 0.600
5 Ga 0.845 0.691 0.216

Results
excess energy over the best structure of this formula in the dataset: 0.00 eV/f.u.
uncorrected energy: -3.00 eV/atom
formation energy: -23 kJ/mol of atoms

---

No. 4
An optimized crystal structure of ZnGa3Pd3, computed with PBE.

a b c (Å): 4.791 7.266 7.266
angles (deg): 120.00 90.00 90.00
Element x y z (fractional)
1 Ga 0.250 0.555 0.918
2 Pd 0.250 0.780 0.737
3 Pd 0.750 0.044 0.780
4 Pd 0.250 0.956 0.220
5 Ga 0.250 0.363 0.445
6 Zn 0.750 0.333 0.667
7 Pd 0.250 0.263 0.044
8 Zn 0.250 0.667 0.333
9 Ga 0.750 0.918 0.363
10 Pd 0.750 0.737 0.956
11 Ga 0.250 0.082 0.637
12 Pd 0.750 0.220 0.263
13 Ga 0.750 0.637 0.555
14 Ga 0.750 0.445 0.082

Results
uncorrected energy: -4.12 eV/atom
formation energy: -40 kJ/mol of atoms

---

No. 5
An optimized crystal structure of ZnGaPd2, computed with PBE.

a b c (Å): 3.134 4.333 8.653
angles (deg): 90.00 90.00 90.00
Element x y z (fractional)
1 Ga 0.500 0.250 0.370
2 Pd 0.000 0.250 0.620
3 Zn 0.500 0.250 0.879
4 Pd 0.000 0.250 0.129
5 Pd 0.000 0.750 0.380
6 Zn 0.500 0.750 0.121
7 Pd 0.000 0.750 0.871
8 Ga 0.500 0.750 0.630

Results
uncorrected energy: -4.24 eV/atom
formation energy: -55 kJ/mol of atoms

---

No. 6
An optimized crystal structure of ZnGa6Pd3, computed with PBE.

a b c (Å): 5.365 7.923 7.923
angles (deg): 95.86 90.00 90.00
Element x y z (fractional)
1 Zn 0.623 0.696 0.304
2 Pd 0.381 0.285 0.989
3 Ga 0.629 0.287 0.282
4 Pd 0.881 0.715 0.011
5 Ga 0.377 0.999 0.388
6 Ga 0.096 0.015 0.985
7 Ga 0.129 0.282 0.287
8 Ga 0.877 0.388 0.999
9 Ga 0.377 0.612 0.001
10 Pd 0.881 0.989 0.285
11 Pd 0.381 0.011 0.715
12 Ga 0.877 0.001 0.612
13 Pd 0.376 0.502 0.498
14 Ga 0.129 0.713 0.718
15 Ga 0.596 0.985 0.015
16 Pd 0.876 0.498 0.502
17 Zn 0.123 0.304 0.696
18 Ga 0.619 0.305 0.695
19 Ga 0.629 0.718 0.713
20 Ga 0.119 0.695 0.305

Results
uncorrected energy: -3.86 eV/atom
formation energy: -35 kJ/mol of atoms

---

No. 7
An optimized crystal structure of Zn2GaPd2, computed with PBE.

a b c (Å): 7.281 7.281 2.934
angles (deg): 90.00 90.00 90.00
Element x y z (fractional)
1 Pd 0.835 0.335 0.500
2 Zn 0.869 0.631 0.000
3 Zn 0.369 0.869 0.000
4 Pd 0.665 0.835 0.500
5 Zn 0.131 0.369 0.000
6 Zn 0.631 0.131 0.000
7 Pd 0.335 0.165 0.500
8 Ga 0.500 0.500 0.000
9 Ga 0.000 0.000 0.000
10 Pd 0.165 0.665 0.500

Results
excess energy over the best structure of this formula in the dataset: 0.44 eV/f.u.
uncorrected energy: -3.53 eV/atom
formation energy: -33 kJ/mol of atoms

---

No. 8
An optimized crystal structure of ZnGaPd2, computed with PBE.

a b c (Å): 5.717 5.717 5.717
angles (deg): 57.95 151.71 130.55
Element x y z (fractional)
1 Zn 0.000 0.000 0.000
2 Pd 0.000 0.747 0.747
3 Ga 0.000 0.500 0.500
4 Pd 0.000 0.253 0.253

Results
uncorrected energy: -3.74 eV/atom
formation energy: -6 kJ/mol of atoms

---

- Which formula does entry 5 have?
  ZnGaPd2